No. 1
Entry from the Alexandria database: crystalline LiTbTmCu at its relaxed geometry (PBE).

Structure (extended XYZ):
```
4
Lattice="4.9967 0.0000 0.0000 2.4983 4.3272 0.0000 2.4983 1.4424 4.0798" Properties=species:S:1:pos:R:3 pbc="T T T"
Tm 4.9967 2.8848 2.0399
Tb 0.0000 0.0000 0.0000
Cu 2.4983 1.4424 1.0199
Li 7.4950 4.3272 3.0598
```

## Properties
Size of the total moment, Bohr magnetons per cell: 0.000
Formation enthalpy at 0 K, kcal/mol of atoms: -0.98
VASP energy, eV/atom: -3.820



No. 2
Entry from the Alexandria database: crystalline Pr7Nd3Er at its relaxed geometry (PBE).

Structure (extended XYZ):
```
11
Lattice="-3.2473 4.7564 -1.8117 -5.2040 -6.0997 3.3496 2.3999 0.9751 8.2944" Properties=species:S:1:pos:R:3 pbc="T T T"
Pr -1.2745 -0.0734 2.0649
Pr 0.3839 1.9576 4.4443
Pr -1.9824 1.8174 8.2836
Pr -4.0690 -2.1855 1.5486
Pr -1.4020 -2.5623 5.8220
Pr -6.4353 -2.3257 5.3879
Pr -4.7769 -0.2947 7.7674
Nd -3.6190 -4.6250 4.3803
Nd -1.6237 2.3782 -0.9059
Nd 0.8149 -0.4996 7.2637
Er -3.0257 -0.1841 4.9161
```

## Properties
Size of the total moment, Bohr magnetons per cell: 0.007
Energy above the most stable polymorph in this dataset, meV per atom: 0.0
Formation enthalpy at 0 K, kcal/mol of atoms: 5.12
VASP energy, eV/atom: -4.535



No. 3
Entry from the Alexandria database: crystalline YAs2Ru at its relaxed geometry (PBE).

Structure (extended XYZ):
```
4
Lattice="0.0000 3.3215 3.3215 3.3215 0.0000 3.3215 3.3215 3.3215 0.0000" Properties=species:S:1:pos:R:3 pbc="T T T"
Y 0.0000 0.0000 0.0000
Ru 3.3215 3.3215 3.3215
As 1.6607 1.6607 1.6607
As 4.9822 4.9822 4.9822
```

## Properties
Size of the total moment, Bohr magnetons per cell: 0.000
Energy above the most stable polymorph in this dataset, meV per atom: 294.7
Formation enthalpy at 0 K, kcal/mol of atoms: -9.96
VASP energy, eV/atom: -6.691



No. 4
Entry from the Alexandria database: crystalline TaNiIrPd at its relaxed geometry (PBE).

Structure (extended XYZ):
```
4
Lattice="4.3774 0.0000 0.0000 2.1887 3.7909 0.0000 2.1887 1.2636 3.5741" Properties=species:S:1:pos:R:3 pbc="T T T"
Ni 2.1887 1.2636 0.8935
Ir 4.3774 2.5273 1.7871
Pd 0.0000 0.0000 0.0000
Ta 6.5661 3.7909 2.6806
```

## Properties
Size of the total moment, Bohr magnetons per cell: 0.000
Formation enthalpy at 0 K, kcal/mol of atoms: -6.57
VASP energy, eV/atom: -8.207



No. 5
Entry from the Alexandria database: crystalline CuBi2MoIr at its relaxed geometry (PBE).

Structure (extended XYZ):
```
5
Lattice="-4.3283 -2.0228 2.1904 1.1042 -4.2005 -1.6971 2.7093 -1.0566 4.3780" Properties=species:S:1:pos:R:3 pbc="T T T"
Mo 0.0000 0.0000 0.0000
Ir -0.2574 -3.6399 2.4356
Bi 1.3547 -0.5283 2.1890
Bi -2.1641 -1.0114 1.0952
Cu 0.5521 -2.1002 -0.8486
```

## Properties
Size of the total moment, Bohr magnetons per cell: 1.730
Formation enthalpy at 0 K, kcal/mol of atoms: 34.34
VASP energy, eV/atom: -4.821



No. 6
Entry from the Alexandria database: crystalline K2Rb6HgH at its relaxed geometry (PBE).

Structure (extended XYZ):
```
10
Lattice="9.6812 0.0149 0.0005 0.0149 9.6812 0.0004 -4.8475 -4.8470 6.8175" Properties=species:S:1:pos:R:3 pbc="T T T"
K 4.8434 0.0104 3.3968
K 0.0049 4.8482 3.3968
Rb 2.6007 2.6062 6.8169
Rb 4.8474 4.8527 3.6714
Rb -2.5996 -2.5943 6.8147
Rb 2.5972 -2.5908 6.8160
Rb 0.0011 0.0059 3.1579
Rb -2.5962 2.6023 6.8161
Hg 4.8481 4.8529 0.0108
H 4.8337 -4.8274 6.8156
```

## Properties
Size of the total moment, Bohr magnetons per cell: 0.000
VASP energy, eV/atom: -1.192



No. 7
Entry from the Alexandria database: crystalline BeAsAu at its relaxed geometry (PBE).

Structure (extended XYZ):
```
6
Lattice="-0.0886 -0.9822 -3.9179 -0.3188 -3.8211 -1.2735 -7.6473 0.6352 0.0148" Properties=species:S:1:pos:R:3 pbc="T T T"
Be -4.6897 -3.0302 -2.7653
Be -0.7133 -1.4655 -3.5957
As -7.8810 -3.2281 -3.2554
As -3.8245 -0.7446 -3.0912
Au -2.3133 -2.7715 -2.2792
Au -6.0599 -1.4771 -4.0720
```

## Properties
Size of the total moment, Bohr magnetons per cell: 0.000
Formation enthalpy at 0 K, kcal/mol of atoms: -0.90
VASP energy, eV/atom: -3.923



No. 8
Entry from the Alexandria database: crystalline K6TeBr4 at its relaxed geometry (PBE).

Structure (extended XYZ):
```
22
Lattice="-3.6418 3.1047 -0.6928 -2.3023 -7.1796 -3.1969 -9.1677 -6.1825 20.4870" Properties=species:S:1:pos:R:3 pbc="T T T"
K -1.8209 1.5523 -0.3464
K -6.4048 -1.5389 9.8971
K -3.4882 -2.6453 6.4819
K -11.6237 -7.6121 10.1154
K -13.1673 -8.6531 13.5651
K -1.9445 -1.6043 3.0322
K -7.7579 -3.9668 6.1301
K -7.3539 -6.2907 10.4672
K -10.2544 -8.2467 16.9489
K -4.8574 -2.0107 -0.3516
K -4.8189 -4.9944 2.9502
K -10.2929 -5.2631 13.6471
Te -5.4087 -1.7619 3.6617
Te -9.7031 -8.4955 12.9356
Br -9.7453 -5.8495 8.1403
Br -4.5321 -5.3726 -0.2524
Br -5.3665 -4.4080 8.4570
Br -10.5797 -4.8849 16.8497
Br -13.6091 -8.4551 16.7747
Br -1.5027 -1.8023 -0.1774
Br -8.3502 -3.3814 11.8675
Br -6.7616 -6.8761 4.7298
```

## Properties
Size of the total moment, Bohr magnetons per cell: 0.000
VASP energy, eV/atom: -3.016



Which value of size of the total moment does entry 6 give?
0.000 Bohr magnetons per cell